[1]
The following is a DFT calculation (PBE-GGA) of a geometry-optimized TlCdRh4 structure.

Cell: 5.259 5.259 5.259 Å, 60.00 60.00 60.00°
Positions (direct):
Cd (0.000, 0.000, 0.000)
Rh (0.375, 0.375, 0.875)
Rh (0.375, 0.375, 0.375)
Rh (0.875, 0.375, 0.375)
Rh (0.375, 0.875, 0.375)
Tl (0.750, 0.750, 0.750)

Results
density of states at the Fermi level = 1.317 states/eV per atom
E = -5.260 eV per atom
V = 102.8 Å³ per cell

=====

[2]
The following is a DFT calculation (PBE-GGA) of a geometry-optimized Tl2CdRh structure.

Cell: 5.352 5.352 5.352 Å, 131.10 131.10 71.66°
Positions (direct):
Rh (0.000, 0.000, 0.000)
Tl (0.750, 0.250, 0.500)
Tl (0.250, 0.750, 0.500)
Cd (0.500, 0.500, 0.000)

Results
density of states at the Fermi level = 0.513 states/eV per atom
E = -3.026 eV per atom
V = 85.2 Å³ per cell

=====

[3]
The following is a DFT calculation (PBE-GGA) of a geometry-optimized Tl3CdRh structure.

Cell: 5.320 5.320 5.320 Å, 90.00 90.00 90.00°
Positions (direct):
Tl (0.500, 0.000, 0.000)
Tl (0.000, 0.500, 0.000)
Tl (0.000, 0.000, 0.500)
Cd (0.500, 0.500, 0.500)
Rh (0.000, 0.000, 0.000)

Results
density of states at the Fermi level = 0.392 states/eV per atom
E = -3.017 eV per atom
V = 150.6 Å³ per cell